Here is a relaxed structure of InAgHg from the Alexandria database. Energies are from PBE.

Lattice parameters (Å, degrees): 15.372 3.295 5.497 90.00 90.00 90.00
Space group Amm2 (No. 38)
Symmetry-distinct sites (fractional):
In1 0.193 0.000 0.000 (multiplicity 4)
Ag1 0.346 0.000 0.340 (multiplicity 4)
Hg1 0.000 0.000 0.989 (multiplicity 2)
Hg2 0.500 0.000 0.680 (multiplicity 2)

Computed properties:
- Calculated formation energy: 0.0597 eV per atom
- Theoretical density: 10.10 g/cm³
- D(E_F): 4.24 states/eV/cell

***

Here is a relaxed structure of InAg4Hg from the Alexandria database. Energies are from PBE.

Lattice parameters (Å, degrees): 7.934 7.934 7.934 90.00 90.00 90.00
Space group F-43m (No. 216)
Symmetry-distinct sites (fractional):
In1 0.000 0.000 0.000 (multiplicity 4)
Ag1 0.125 0.125 0.625 (multiplicity 16)
Hg1 0.250 0.250 0.250 (multiplicity 4)

Computed properties:
- Calculated formation energy: 0.0685 eV per atom
- Theoretical density: 9.93 g/cm³
- D(E_F): 7.59 states/eV/cell

***

Here is a relaxed structure of InAgHg2 from the Alexandria database. Energies are from PBE.

Lattice parameters (Å, degrees): 6.466 23.010 3.369 90.00 118.79 90.00
Space group C2/c (No. 15)
Symmetry-distinct sites (fractional):
In1 0.000 0.167 0.250 (multiplicity 4)
Ag1 0.250 0.250 0.000 (multiplicity 4)
Hg1 0.236 0.437 0.199 (multiplicity 8)

Computed properties:
- Calculated formation energy: 0.1179 eV per atom
- Theoretical density: 9.43 g/cm³
- D(E_F): 4.55 states/eV/cell

***

Q: calculated formation energy of number 3 (InAgHg2)?
A: 0.1179 eV per atom